Entry 1:
# ZnHg6F12 (GGA-PBE, relaxed)
# E (eV/atom): -2.81
# ρ (g cm⁻³): 8.1
# E_form (uncorrected) (eV per atom): -1.470
data_ZnHg6F12
_cell_length_a 10.4130
_cell_length_b 10.4130
_cell_length_c 9.8619
_cell_angle_alpha 90.00
_cell_angle_beta 90.00
_cell_angle_gamma 120.00
_symmetry_space_group_name_H-M 'R -3'
_symmetry_Int_Tables_number 148
_symmetry_space_group_name_Hall '-R 3'
loop_
_atom_site_label
_atom_site_fract_x
_atom_site_fract_y
_atom_site_fract_z
Zn1 0.0000 0.0000 0.0000
Hg1 0.0524 0.7885 0.6547
F1 0.0336 0.8095 0.4001
F2 0.0418 0.8522 0.8915



Entry 2:
# Zr6Cr7 (GGA-PBE, relaxed)
# E (eV/atom): -9.08
# ρ (g cm⁻³): 7.0
# Energy of formation from the pure elements (meV per atom): 52
data_Zr6Cr7
_cell_length_a 5.0221
_cell_length_b 5.0221
_cell_length_c 29.5485
_cell_angle_alpha 90.00
_cell_angle_beta 90.00
_cell_angle_gamma 120.00
_symmetry_space_group_name_H-M 'R -3 m'
_symmetry_Int_Tables_number 166
_symmetry_space_group_name_Hall '-R 3 2"'
loop_
_atom_site_label
_atom_site_fract_x
_atom_site_fract_y
_atom_site_fract_z
Zr1 0.0000 0.0000 0.0482
Zr2 0.0000 0.0000 0.1498
Zr3 0.0000 0.0000 0.3326
Cr1 0.0000 0.0000 0.5000
Cr2 0.0042 0.5021 0.9044